{
  "formula": "DyTm6Mg",
  "functional": "PBE-GGA",
  "state": "relaxed",
  "volume_a3_per_atom": 29.49,
  "ef_ev_per_atom": 0.03,
  "magmom_total_mub_per_fu": 0.000,
  "total_energy_ev_per_cell": -32.81,
  "n_ef_per_ev_cell": 11.50,
  "cell": [[4.9052, 0.0000, 0.0000], [0.0000, 4.9052, 0.0000], [0.0000, 0.0000, 9.8041]],
  "species": ["Dy", "Tm", "Tm", "Tm", "Tm", "Tm", "Tm", "Mg"],
  "fractional_positions": [[0.0000, 0.0000, 0.0000], [0.0000, 0.5000, 0.2514], [0.0000, 0.5000, 0.7486], [0.5000, 0.0000, 0.2514], [0.5000, 0.0000, 0.7486], [0.5000, 0.5000, 0.0000], [0.5000, 0.5000, 0.5000], [0.0000, 0.0000, 0.5000]]
}